Record 1
The following is a DFT calculation (GGA-PBE) of a relaxed structure of Ce2SmMoN4.

a b c (Å): 6.221 6.221 11.789
angles (deg): 90.00 90.00 147.65
Positions (direct):
Ce 0.132 0.868 0.545
Ce 0.132 0.868 0.955
Ce 0.868 0.132 0.045
Ce 0.868 0.132 0.455
Sm 0.376 0.624 0.750
Sm 0.624 0.376 0.250
Mo 0.360 0.640 0.250
Mo 0.640 0.360 0.750
N 0.045 0.955 0.750
N 0.233 0.767 0.130
N 0.233 0.767 0.370
N 0.500 0.500 0.000
N 0.500 0.500 0.500
N 0.767 0.233 0.630
N 0.767 0.233 0.870
N 0.955 0.045 0.250

- Crystal system: orthorhombic
- ΔE_f (raw): -1085 meV per atom
- Total DFT energy (no corrections): -138.8 eV/cell
- Space group: Cmcm
- Total moment: 0.0 μB/f.u.

=====

Record 2
The following is a DFT calculation (GGA-PBE) of a relaxed structure of PmFe3Tc3.

a b c (Å): 6.393 6.393 6.393
angles (deg): 90.00 90.00 90.00
Positions (direct):
Pm 0.000 0.000 0.000
Pm 0.500 0.500 0.500
Fe 0.000 0.250 0.500
Fe 0.000 0.750 0.500
Fe 0.250 0.500 0.000
Fe 0.500 0.000 0.250
Fe 0.500 0.000 0.750
Fe 0.750 0.500 0.000
Tc 0.000 0.500 0.250
Tc 0.000 0.500 0.750
Tc 0.250 0.000 0.500
Tc 0.500 0.250 0.000
Tc 0.500 0.750 0.000
Tc 0.750 0.000 0.500

- Crystal system: cubic
- Total DFT energy (no corrections): -113.7 eV/cell
- Space group: Pm-3n
- Total moment: 0.0 μB/f.u.
- Energy relative to the elements: 0.625 eV per atom